No. 1
TiAs2SeBr: optimized geometry, PBE.

Computed properties:
The energy above the most stable polymorph in this dataset comes out at 0.826 eV per atom. The calculated total energy comes out at -18.29 eV per cell. As for the formation energy (no corrections): 0.81 eV/atom.

abc: 5.019 5.019 5.220
angles: 90.00 90.00 90.00
Space group P4/mmm (No. 123)
One atom of each set of equivalent atoms:
Ti 0.000 0.000 0.000 x1
As 0.000 0.500 0.500 x2
Se 0.500 0.500 0.500 x1
Br 0.500 0.500 0.000 x1

No. 2
ZnPAu2: optimized geometry, PBE.

Computed properties:
The energy above the most stable polymorph in this dataset comes out at 0.114 eV per atom. The calculated total energy comes out at -12.49 eV per cell.

abc: 2.859 2.859 8.199
angles: 90.00 90.00 90.00
Space group P4mm (No. 99)
One atom of each set of equivalent atoms:
Zn 0.000 0.000 0.000 x1
P 0.500 0.500 0.772 x1
Au 0.000 0.000 0.513 x1
Au 0.500 0.500 0.233 x1

No. 3
Sr2GaPb2: optimized geometry, PBE.

Computed properties:
The energy above the most stable polymorph in this dataset comes out at 0.264 eV per atom. The calculated total energy comes out at -28.87 eV per cell.

abc: 4.366 4.366 19.143
angles: 90.00 90.00 90.00
Space group I4/mmm (No. 139)
One atom of each set of equivalent atoms:
Sr 0.000 0.000 0.097 x4
Ga 0.000 0.000 0.500 x2
Pb 0.000 0.500 0.250 x4

No. 4
Cs2Rb2Na: optimized geometry, PBE.

Computed properties:
The energy above the most stable polymorph in this dataset comes out at 0.000 eV per atom. The calculated total energy comes out at -19.35 eV per cell.

abc: 10.920 16.868 11.167
angles: 90.00 116.99 90.00
Space group C2/m (No. 12)
One atom of each set of equivalent atoms:
Cs 0.054 0.212 0.252 x8
Rb 0.217 0.500 0.906 x4
Rb 0.235 0.000 0.636 x4
Na 0.000 0.393 0.500 x4

No. 5
Cr2Fe2Si: optimized geometry, PBE.

Computed properties:
The energy above the most stable polymorph in this dataset comes out at 0.000 eV per atom. The calculated total energy comes out at -81.71 eV per cell. As for the formation energy (no corrections): 0.15 eV/atom.

abc: 6.650 6.650 2.621
angles: 90.00 90.00 90.00
Space group P4/mbm (No. 127)
One atom of each set of equivalent atoms:
Cr 0.165 0.335 0.000 x4
Fe 0.129 0.629 0.500 x4
Si 0.000 0.000 0.500 x2

No. 6
Nb6Au3N: optimized geometry, PBE.

Computed properties:
The calculated total energy comes out at -159.51 eV per cell. As for the formation energy (no corrections): -0.12 eV/atom.

abc: 9.687 5.857 6.781
angles: 90.00 109.53 90.00
Space group C2/m (No. 12)
One atom of each set of equivalent atoms:
Nb 0.109 0.241 0.367 x8
Nb 0.176 0.000 0.798 x4
Au 0.000 0.500 0.000 x2
Au 0.180 0.500 0.758 x4
N 0.000 0.000 0.500 x2